Entry from Alexandria via LeMat-Bulk: crystalline SrTlPCl2 at its relaxed geometry (PBE).

Properties
* uncorrected formation energy: -0.8000 eV per atom
* SG: P4/mmm
* offset from the most stable computed form: 0.0000 eV/atom

Cell: 5.6185 5.6185 6.1123 Å, 90.00 90.00 90.00°
Element x y z (fractional)
Sr 0.0000 0.0000 0.0000
Tl 0.5000 0.5000 0.5000
P 0.0000 0.0000 0.5000
Cl 0.0000 0.5000 0.0000
Cl 0.5000 0.0000 0.0000

=====

Entry from Alexandria via LeMat-Bulk: crystalline OsCl at its relaxed geometry (PBE).

Properties
* uncorrected formation energy: 1.0835 eV per atom
* SG: Pmmn
* offset from the most stable computed form: 0.9595 eV/atom

Cell: 3.4731 12.1417 5.7035 Å, 90.00 90.00 90.00°
Element x y z (fractional)
Os 0.2500 0.0556 0.0678
Os 0.2500 0.4444 0.0678
Os 0.2500 0.7500 0.3015
Os 0.7500 0.2500 0.6985
Os 0.7500 0.5556 0.9322
Os 0.7500 0.9444 0.9322
Cl 0.2500 0.2500 0.9525
Cl 0.2500 0.6126 0.5952
Cl 0.2500 0.8874 0.5952
Cl 0.7500 0.1126 0.4048
Cl 0.7500 0.3874 0.4048
Cl 0.7500 0.7500 0.0475

=====

Entry from Alexandria via LeMat-Bulk: crystalline SrNi2Se at its relaxed geometry (PBE).

Properties
* uncorrected formation energy: -0.0372 eV per atom
* SG: Immm

Cell: 5.3381 5.3381 5.3381 Å, 141.78 123.34 70.41°
Element x y z (fractional)
Sr 0.0000 0.0000 0.0000
Ni 0.3041 0.8041 0.5000
Ni 0.6959 0.1959 0.5000
Se 0.5000 0.5000 0.0000

=====

Entry from Alexandria via LeMat-Bulk: crystalline NdSmTm2P4 at its relaxed geometry (PBE).

Properties
* SG: P2/m
* calculated formation energy: -1.57 eV/atom

Cell: 6.9986 4.0468 7.0059 Å, 90.00 109.48 90.00°
Element x y z (fractional)
Nd 0.0000 0.0000 0.0000
Sm 0.0000 0.5000 0.5000
Tm 0.5000 0.0000 0.5000
Tm 0.5000 0.5000 0.0000
P 0.2610 0.0000 0.7521
P 0.2622 0.5000 0.2557
P 0.7378 0.5000 0.7443
P 0.7390 0.0000 0.2479

=====

Entry from Alexandria via LeMat-Bulk: crystalline Nd2Sm3ErTe6 at its relaxed geometry (PBE).

Properties
* uncorrected formation energy: -1.3690 eV per atom
* SG: C2/m

Cell: 9.9265 9.9265 8.9323 Å, 102.40 102.40 25.69°
Element x y z (fractional)
Nd 0.1704 0.1704 0.3365
Nd 0.8296 0.8296 0.6635
Sm 0.1734 0.1734 0.8346
Sm 0.5000 0.5000 0.5000
Sm 0.8266 0.8266 0.1654
Er 0.5000 0.5000 0.0000
Te 0.0023 0.0023 0.7588
Te 0.3363 0.3363 0.4151
Te 0.3393 0.3393 0.9231
Te 0.6607 0.6607 0.0769
Te 0.6637 0.6637 0.5849
Te 0.9977 0.9977 0.2412

=====

Entry from Alexandria via LeMat-Bulk: crystalline TeSeBr2 at its relaxed geometry (PBE).

Properties
* uncorrected formation energy: 0.5525 eV per atom
* SG: P4/mmm
* offset from the most stable computed form: 0.7197 eV/atom

Cell: 3.3393 3.3393 8.9370 Å, 90.00 90.00 90.00°
Element x y z (fractional)
Te 0.0000 0.0000 0.0000
Se 0.0000 0.0000 0.5000
Br 0.5000 0.5000 0.2552
Br 0.5000 0.5000 0.7448

=====

Entry from Alexandria via LeMat-Bulk: crystalline AcCoBi2 at its relaxed geometry (PBE).

Properties
* SG: P4/mmm
* calculated formation energy: 0.03 eV/atom
* offset from the most stable computed form: 0.0000 eV/atom

Cell: 4.8786 4.8786 4.8108 Å, 90.00 90.00 90.00°
Element x y z (fractional)
Ac 0.0000 0.0000 0.0000
Co 0.5000 0.5000 0.0000
Bi 0.0000 0.5000 0.5000
Bi 0.5000 0.0000 0.5000

=====

Entry from Alexandria via LeMat-Bulk: crystalline Ta5Re3 at its relaxed geometry (PBE).

Properties
* SG: P6_3/mcm
* calculated formation energy: -0.03 eV/atom
* offset from the most stable computed form: 0.3492 eV/atom

Cell: 7.7435 7.7435 5.3826 Å, 90.00 90.00 120.00°
Element x y z (fractional)
Ta 0.0000 0.2323 0.2500
Ta 0.0000 0.7677 0.7500
Ta 0.2323 0.0000 0.2500
Ta 0.2323 0.2323 0.7500
Ta 0.3333 0.6667 0.0000
Ta 0.3333 0.6667 0.5000
Ta 0.6667 0.3333 0.0000
Ta 0.6667 0.3333 0.5000
Ta 0.7677 0.0000 0.7500
Ta 0.7677 0.7677 0.2500
Re 0.0000 0.4016 0.7500
Re 0.0000 0.5984 0.2500
Re 0.4016 0.0000 0.7500
Re 0.4016 0.4016 0.2500
Re 0.5984 0.0000 0.2500
Re 0.5984 0.5984 0.7500